First-principles (PBE) data for CsZnTcBr2 after structural relaxation, as listed in Alexandria.

Properties
Space group: P4/mmm (123)
Total DFT energy (no corrections) in eV per atom: -2.1674
Formation energy without anion corrections in eV/atom: 1.000
DOS at the Fermi energy in states/eV/f.u.: 5.551

abc: 6.5398 5.7509 6.5398
angles: 90.00 90.00 90.00
Closest atoms and distances in Å follow each position.
Sites, in units of the cell vectors:
1 Tc 0.0000 0.5000 0.0000  2 Cs 2.88
2 Zn 0.5000 0.5000 0.5000  8 Br 4.35, 4 Tc 4.62
3 Br 0.0000 0.0000 0.5000  2 Cs 3.27
4 Cs 0.0000 0.0000 0.0000  2 Tc 2.88
5 Br 0.5000 0.0000 0.0000  2 Cs 3.27